GaSnSb2Te: optimized geometry, GGA-PBE.

## Properties
For the energy relative to the lowest polymorph listed for this composition, the calculation gives 0.0000 eV per atom. As for the symmetry: No. 123.

Cell: 5.324 5.324 5.427 Å, 90.00 90.00 90.00°
Sites, in units of the cell vectors:
Sb (0.000, 0.500, 0.000)
Sb (0.500, 0.000, 0.000)
Te (0.000, 0.000, 0.500)
Sn (0.500, 0.500, 0.500)
Ga (0.000, 0.000, 0.000)